No. 1
Density functional theory data (PBE) for a relaxed structure of Ac3PmSb4.

The space-group type is Pm-3m (221). The total magnetization comes out at 0.00 μB per formula unit. As for the uncorrected formation energy: -1.18 eV per atom. As for the distance to the lowest polymorph of the same formula: 0.11 eV per formula unit. The calculation puts the total energy at -42.99 eV/cell.

Cell: 6.692 6.692 6.692 Å, 90.00 90.00 90.00°
Fractional coordinates of all 8 atoms:
Ac: 0.000 0.500 0.500
Sb: 0.000 0.000 0.500
Sb: 0.500 0.000 0.000
Sb: 0.000 0.500 0.000
Sb: 0.500 0.500 0.500
Ac: 0.500 0.000 0.500
Pm: 0.000 0.000 0.000
Ac: 0.500 0.500 0.000

***

No. 2
Density functional theory data (PBE) for a relaxed structure of Pa4AsSe2S.

The space-group type is P2/m (10). The total magnetization comes out at 0.00 μB per formula unit. As for the uncorrected formation energy: -1.27 eV per atom. The calculation puts the total energy at -63.90 eV/cell.

Cell: 4.065 7.201 6.744 Å, 70.12 90.00 90.00°
Fractional coordinates of all 8 atoms:
Se: 0.000 0.000 0.000
As: 0.500 0.500 0.000
S: 0.000 0.500 0.500
Se: 0.500 0.000 0.500
Pa: 0.500 0.267 0.731
Pa: 0.000 0.742 0.740
Pa: 0.500 0.733 0.269
Pa: 0.000 0.258 0.260